Material: Ac4PrAg
Method: DFT, PBE
State: optimized geometry

Cell lengths 3.9531, 3.9531, 14.9156 Å; angles 90.00, 90.00, 90.00 degrees
Space group P4/mmm (No. 123)
One atom of each set of equivalent atoms:
Ac 0.0000 0.0000 0.1330 x2
Ac 0.5000 0.5000 0.3254 x2
Pr 0.0000 0.0000 0.5000 x1
Ag 0.5000 0.5000 0.0000 x1

Calculated values
energy of formation: -0.07 eV per atom
DOS(E_F): 9.41 states/eV/f.u.
total magnetization: 0.0 μB per formula unit